This record from Alexandria describes crystalline Ba2YRe at its relaxed geometry. The functional is GGA-PBE.

Cell and atoms, written as CIF:
```
data_Ba2YRe
_chemical_formula_sum 'Ba2 Y1 Re1'
_space_group_name_H-M_alt 'P 1'
_space_group_IT_number 1
_space_group_name_Hall 'P 1'
_cell_length_a 5.362
_cell_length_b 5.362
_cell_length_c 8.937
_cell_angle_alpha 73.94
_cell_angle_beta 73.94
_cell_angle_gamma 41.82
loop_
_atom_site_label
_atom_site_fract_x
_atom_site_fract_y
_atom_site_fract_z
_atom_site_occupancy
Re1 0.468 0.468 0.375 1
Ba1 0.845 0.845 0.670 1
Ba2 0.002 0.002 0.080 1
Y1 0.185 0.185 0.375 1
```

Summary:
VASP energy ... -20.328 eV/cell